Compound: La2ZrReW
Source: the Alexandria database
Functional: PBE-GGA
Structure: optimized geometry

M_tot   0.00 μB per formula unit
Calculated density   8.6 g/cm3
E   -6.757 eV/atom

a = 5.4707 Å, b = 4.7728 Å, c = 5.4707 Å
α = 90.00°, β = 90.00°, γ = 90.00°
Positions (direct):
Re 0.5000 0.5000 0.5000
La 0.5000 0.0000 0.0000
Zr 0.0000 0.0000 0.0000
W 0.0000 0.5000 0.0000
La 0.0000 0.0000 0.5000